Entry 1:
PBE Sm7Y2Mg2, optimized geometry; relative energy among the computed polymorphs = 0 meV/atom; space group = C2/m; calculated total energy = -4.33 eV/atom; theoretical density = 5.95 g/cm3
1.0
6.0053 -5.5184 0.0000
6.0053 5.5184 0.0000
-2.1615 0.0000 5.3833
Sm Y Mg
7 2 2
Direct
0.0000 0.0000 0.0000 Sm
0.0119 0.6006 0.8141 Sm
0.2322 0.2322 0.6688 Sm
0.3994 0.9881 0.1859 Sm
0.6006 0.0119 0.8141 Sm
0.7678 0.7678 0.3312 Sm
0.9881 0.3994 0.1859 Sm
0.2204 0.7796 0.5000 Y
0.7796 0.2204 0.5000 Y
0.4431 0.4431 0.2179 Mg
0.5569 0.5569 0.7821 Mg


Entry 2:
PBE SmY3Mg8, optimized geometry; relative energy among the computed polymorphs = 3 meV/atom; space group = P3m1; calculated total energy = -3.16 eV/atom; theoretical density = 3.23 g/cm3
1.0
6.0856 0.0000 0.0000
-3.0428 5.2703 0.0000
0.0000 0.0000 9.8126
Sm Y Mg
1 3 8
Direct
0.0000 0.0000 0.0000 Sm
0.0000 0.0000 0.3706 Y
0.6667 0.3333 0.4980 Y
0.6667 0.3333 0.8677 Y
0.1628 0.3256 0.6833 Mg
0.1628 0.8372 0.6833 Mg
0.3333 0.6667 0.4341 Mg
0.3333 0.6667 0.9343 Mg
0.5044 0.0089 0.1850 Mg
0.5044 0.4956 0.1850 Mg
0.6744 0.8372 0.6833 Mg
0.9911 0.4956 0.1850 Mg


Entry 3:
PBE SmYMg, optimized geometry; relative energy among the computed polymorphs = 104 meV/atom; space group = P3m1; calculated total energy = -4.22 eV/atom; theoretical density = 4.88 g/cm3
1.0
5.4861 0.0000 0.0000
-2.7430 4.7511 0.0000
0.0000 0.0000 3.4376
Sm Y Mg
1 1 1
Direct
0.0000 0.0000 0.0000 Sm
0.6667 0.3333 0.4310 Y
0.3333 0.6667 0.7073 Mg


Entry 4:
PBE Sm3Y2Mg, optimized geometry; relative energy among the computed polymorphs = 38 meV/atom; space group = C2/c; calculated total energy = -4.76 eV/atom; theoretical density = 5.69 g/cm3
1.0
8.7086 -3.5368 0.0000
8.7086 3.5368 0.0000
-0.0399 0.0000 6.1939
Sm Y Mg
6 4 2
Direct
0.1346 0.8654 0.7500 Sm
0.2085 0.4575 0.9202 Sm
0.4575 0.2085 0.4202 Sm
0.5425 0.7915 0.5798 Sm
0.7915 0.5425 0.0798 Sm
0.8654 0.1346 0.2500 Sm
0.0427 0.2900 0.5877 Y
0.2900 0.0427 0.0877 Y
0.7100 0.9573 0.9123 Y
0.9573 0.7100 0.4123 Y
0.3671 0.6329 0.2500 Mg
0.6329 0.3671 0.7500 Mg


Q: What is the formula in the first record?
A: Sm7Y2Mg2


Q: Which of these has the lowest relative energy among the computed polymorphs?
A: Sm7Y2Mg2


Q: Look up the relative energy among the computed polymorphs of the second one.
A: 3 meV/atom


What did the first record say?
PBE Sm7Y2Mg2, optimized geometry; relative energy among the computed polymorphs = 0 meV/atom; space group = C2/m; calculated total energy = -4.33 eV/atom; theoretical density = 5.95 g/cm3
1.0
6.0053 -5.5184 0.0000
6.0053 5.5184 0.0000
-2.1615 0.0000 5.3833
Sm Y Mg
7 2 2
Direct
0.0000 0.0000 0.0000 Sm
0.0119 0.6006 0.8141 Sm
0.2322 0.2322 0.6688 Sm
0.3994 0.9881 0.1859 Sm
0.6006 0.0119 0.8141 Sm
0.7678 0.7678 0.3312 Sm
0.9881 0.3994 0.1859 Sm
0.2204 0.7796 0.5000 Y
0.7796 0.2204 0.5000 Y
0.4431 0.4431 0.2179 Mg
0.5569 0.5569 0.7821 Mg